P:
The following is a PBE-GGA calculation of crystalline TiAsS3 at its relaxed geometry, from Alexandria.

## Properties
N(E_F): 0.918 states/eV/atom

a = 4.675 Å, b = 4.675 Å, c = 4.675 Å
α = 90.00°, β = 90.00°, γ = 90.00°
Space group Pm-3m (No. 221)
Asymmetric unit:
Ti  0.000  0.000  0.000
As  0.500  0.500  0.500
S  0.000  0.000  0.500

***

Q:
The following is a PBE-GGA calculation of crystalline TiAsS3 at its relaxed geometry, from Alexandria.

## Properties
N(E_F): 0.758 states/eV/atom

a = 3.311 Å, b = 8.209 Å, c = 9.450 Å
α = 90.00°, β = 90.00°, γ = 90.00°
Space group Amm2 (No. 38)
Asymmetric unit:
Ti  0.000  0.000  0.000
As  0.500  0.000  0.569
S  0.000  0.000  0.752
S  0.500  0.187  0.077

***

R:
The following is a PBE-GGA calculation of crystalline TiAsS3 at its relaxed geometry, from Alexandria.

## Properties
N(E_F): 1.992 states/eV/atom

a = 4.661 Å, b = 4.661 Å, c = 4.661 Å
α = 90.00°, β = 90.00°, γ = 90.00°
Space group Pm-3m (No. 221)
Asymmetric unit:
Ti  0.000  0.000  0.000
As  0.500  0.500  0.500
S  0.000  0.500  0.500

***

Result of the stability comparison: Q is the most stable of them.

***

P:
The following is a PBE-GGA calculation of crystalline Tl3AsS3 at its relaxed geometry, from Alexandria.

a = 5.775 Å, b = 12.814 Å, c = 22.231 Å
α = 90.00°, β = 90.00°, γ = 90.00°
Space group Pbca (No. 61)
Asymmetric unit:
Tl  0.045  0.076  0.192
Tl  0.068  0.663  0.479
Tl  0.082  0.211  0.816
As  0.044  0.041  0.588
S  0.112  0.094  0.684
S  0.113  0.633  0.092
S  0.148  0.047  0.914

***

Q:
The following is a PBE-GGA calculation of crystalline Tl3AsS3 at its relaxed geometry, from Alexandria.

a = 9.8059 Å, b = 9.8059 Å, c = 7.2243 Å
α = 90.00°, β = 90.00°, γ = 120.00°
Space group R3m (No. 160, hexagonal axes)
Asymmetric unit:
Tl  0.2017  0.4034  0.0000
As  0.0000  0.0000  0.7719
S  0.2121  0.4242  0.5754

***

Result of the stability comparison: P is the most stable of them.

***

P:
The following is a PBE-GGA calculation of crystalline Tl2AsS at its relaxed geometry, from Alexandria.

## Properties
N(E_F): 0.368 states/eV/atom

a = 6.367 Å, b = 6.367 Å, c = 13.068 Å
α = 90.00°, β = 90.00°, γ = 90.00°
Space group I-42d (No. 122)
Asymmetric unit:
Tl  0.249  0.250  0.125
As  0.000  0.000  0.000
S  0.000  0.000  0.500

***

Q:
The following is a PBE-GGA calculation of crystalline Tl2AsS at its relaxed geometry, from Alexandria.

## Properties
N(E_F): 0.886 states/eV/atom

a = 7.301 Å, b = 7.301 Å, c = 7.301 Å
α = 90.00°, β = 90.00°, γ = 90.00°
Space group Fm-3m (No. 225)
Asymmetric unit:
Tl  0.250  0.250  0.250
As  0.000  0.000  0.000
S  0.000  0.000  0.500

***

Result of the stability comparison: P is the most stable of them.

***

P:
The following is a PBE-GGA calculation of crystalline TlAsS at its relaxed geometry, from Alexandria.

## Properties
N(E_F): 0.319 states/eV/atom

a = 4.726 Å, b = 3.719 Å, c = 5.430 Å
α = 90.00°, β = 111.98°, γ = 90.00°
Space group Pm (No. 6)
Asymmetric unit:
Tl  0.000  0.000  0.000
As  0.557  0.500  0.150
S  0.614  0.500  0.561

***

Q:
The following is a PBE-GGA calculation of crystalline TlAsS at its relaxed geometry, from Alexandria.

## Properties
N(E_F): 0.261 states/eV/atom

a = 8.727 Å, b = 4.518 Å, c = 5.340 Å
α = 90.00°, β = 113.78°, γ = 90.00°
Space group Cm (No. 8)
Asymmetric unit:
Tl  0.000  0.000  0.000
As  0.147  0.500  0.836
S  0.074  0.500  0.394

***

R:
The following is a PBE-GGA calculation of crystalline TlAsS at its relaxed geometry, from Alexandria.

## Properties
N(E_F): 0.206 states/eV/atom

a = 3.521 Å, b = 3.977 Å, c = 6.036 Å
α = 72.02°, β = 87.48°, γ = 89.99°
Space group P1 (No. 1)
Asymmetric unit:
Tl  0.000  0.000  0.000
As  0.551  0.604  0.554
S  0.060  0.278  0.451

***

S:
The following is a PBE-GGA calculation of crystalline TlAsS at its relaxed geometry, from Alexandria.

## Properties
N(E_F): 0.005 states/eV/atom

a = 11.910 Å, b = 3.916 Å, c = 7.686 Å
α = 90.00°, β = 90.00°, γ = 90.00°
Space group Pnma (No. 62)
Asymmetric unit:
Tl  0.129  0.250  0.036
As  0.052  0.250  0.575
S  0.207  0.250  0.408

***

Result of the stability comparison: S is the most stable of them.

***

P:
The following is a PBE-GGA calculation of crystalline TlAsS at its relaxed geometry, from Alexandria.

## Properties
N(E_F): 0.464 states/eV/atom

a = 3.707 Å, b = 3.707 Å, c = 6.017 Å
α = 90.00°, β = 90.00°, γ = 90.00°
Space group P4mm (No. 99)
Asymmetric unit:
Tl  0.000  0.000  0.000
As  0.500  0.500  0.360
S  0.500  0.500  0.714

***

Q:
The following is a PBE-GGA calculation of crystalline TlAsS at its relaxed geometry, from Alexandria.

## Properties
N(E_F): 0.290 states/eV/atom

a = 3.6504 Å, b = 3.6504 Å, c = 7.0481 Å
α = 90.00°, β = 90.00°, γ = 120.00°
Space group P3m1 (No. 156)
Asymmetric unit:
Tl  0.0000  0.0000  0.0000
As  0.6667  0.3333  0.4068
S  0.6667  0.3333  0.7084

***

Result of the stability comparison: P is the most stable of them.

***

P:
The following is a PBE-GGA calculation of crystalline TlAs2S4 at its relaxed geometry, from Alexandria.

## Properties
N(E_F): 0.283 states/eV/atom

a = 6.688 Å, b = 6.693 Å, c = 9.532 Å
α = 108.33°, β = 108.24°, γ = 96.06°
Space group P1 (No. 1)
Asymmetric unit:
Tl  0.000  0.000  0.000
Tl  0.249  0.750  0.500
As  0.154  0.269  0.685
As  0.657  0.258  0.187
As  0.720  0.335  0.816
As  0.721  0.822  0.314
S  0.030  0.543  0.822
S  0.354  0.129  0.855
S  0.447  0.956  0.187
S  0.459  0.472  0.680
S  0.513  0.521  0.317
S  0.749  0.024  0.647
S  0.859  0.632  0.140
S  0.970  0.243  0.360

***

Q:
The following is a PBE-GGA calculation of crystalline TlAs2S4 at its relaxed geometry, from Alexandria.

## Properties
N(E_F): 0.579 states/eV/atom

a = 3.727 Å, b = 12.370 Å, c = 13.101 Å
α = 90.00°, β = 90.00°, γ = 90.00°
Space group Cmcm (No. 63)
Asymmetric unit:
Tl  0.000  0.091  0.250
As  0.000  0.362  0.061
S  0.000  0.000  0.000
S  0.000  0.266  0.611
S  0.000  0.426  0.250

***

Result of the stability comparison: P is the most stable of them.